Density functional theory data (PBE-GGA) for an optimized crystal structure of NiHg2RhAu.

Lattice parameters (Å, degrees): 4.8635 4.5690 4.8635 90.00 90.00 90.00
Last column: nearest neighbours and their distance in Å.
Sites, in units of the cell vectors:
1 Hg 0.0000 0.0000 0.5000  2 Ni 2.43
2 Hg 0.5000 0.0000 0.0000  2 Ni 2.43
3 Ni 0.0000 0.0000 0.0000  2 Rh 2.28, 4 Hg 2.43
4 Au 0.5000 0.5000 0.5000  8 Hg 3.34, 4 Rh 3.44
5 Rh 0.0000 0.5000 0.0000  2 Ni 2.28

Values from the calculation:
symmetry	P4/mmm
final energy	-2.7007	eV per atom
crystal system	tetragonal
formation enthalpy at 0 K	0.702	eV per atom